Arrangement A

DFT (PBE-GGA) results for Ta5Ti after structural relaxation.

The mass density comes out at 14.61 g/cm3. The calculation puts the magnetization at 0.00 μB/atom.

The structure belongs to space group P-1 (No. 2); the cell edges are 4.7002, 5.7387 and 8.5197 Å and the angles 70.42°, 89.68° and 89.74°. Symmetry generates all atoms from Ta at (0.2494, 0.1193, 0.4179), Ta at (0.2499, 0.1251, 0.7505), Ta at (0.2496, 0.1311, 0.0837), Ta at (0.2500, 0.6269, 0.0813), Ta at (0.2506, 0.6191, 0.4156) and Ti at (0.2513, 0.6261, 0.7480).

=====

Arrangement B

DFT (PBE-GGA) results for Ta5Ti after structural relaxation.

The mass density comes out at 14.26 g/cm3. The calculation puts the magnetization at 0.00 μB/atom.

The structure belongs to space group P-6m2 (No. 187); the cell edges are 2.8976, 2.8976 and 15.2545 Å and the angles 90.00°, 90.00° and 120.00°. Symmetry generates all atoms from Ta at (0.0000, 0.0000, 0.0000), Ta at (0.0000, 0.0000, 0.3383), Ta at (0.3333, 0.6667, 0.1695) and Ti at (0.3333, 0.6667, 0.5000).

=====

Least stable: arrangement B

=====

Arrangement A

DFT (PBE-GGA) results for Ta4Ti after structural relaxation.

The mass density comes out at 12.66 g/cm3. The calculation puts the magnetization at 0.00 μB/atom.

The structure belongs to space group Pm-3m (No. 221); the cell edges are 4.6599, 4.6599 and 4.6599 Å and the angles 90.00°, 90.00° and 90.00°. Symmetry generates all atoms from Ta at (0.0000, 0.0000, 0.0000), Ta at (0.0000, 0.5000, 0.5000) and Ti at (0.5000, 0.5000, 0.5000).

=====

Arrangement B

DFT (PBE-GGA) results for Ta4Ti after structural relaxation.

The mass density comes out at 14.23 g/cm3. The calculation puts the magnetization at 0.00 μB/atom.

The structure belongs to space group C2/m (No. 12); the cell edges are 8.0763, 4.6840 and 5.4654 Å and the angles 90.00°, 119.44° and 90.00°. Symmetry generates all atoms from Ta at (0.1008, 0.0000, 0.3029), Ta at (0.2016, 0.5000, 0.1048) and Ti at (0.0000, 0.5000, 0.5000).

=====

Least stable: arrangement A

=====

Arrangement A

DFT (PBE-GGA) results for TaTi5 after structural relaxation.

The mass density comes out at 6.68 g/cm3. The calculation puts the magnetization at 0.00 μB/atom.

The structure belongs to space group Cm (No. 8); the cell edges are 10.8584, 2.8214 and 7.9927 Å and the angles 90.00°, 121.44° and 90.00°. Symmetry generates all atoms from Ta at (0.0000, 0.0000, 0.0000), Ti at (0.0086, 0.5000, 0.6703), Ti at (0.2460, 0.5000, 0.3379), Ti at (0.2575, 0.0000, 0.6749), Ti at (0.2582, 0.0000, 0.0177) and Ti at (0.4988, 0.5000, 0.3423).

=====

Arrangement B

DFT (PBE-GGA) results for TaTi5 after structural relaxation.

The mass density comes out at 6.66 g/cm3. The calculation puts the magnetization at 0.00 μB/atom.

The structure belongs to space group Cmmm (No. 65); the cell edges are 4.0547, 12.3273 and 4.1911 Å and the angles 90.00°, 90.00° and 90.00°. Symmetry generates all atoms from Ta at (0.0000, 0.0000, 0.0000), Ti at (0.0000, 0.1682, 0.5000), Ti at (0.0000, 0.3321, 0.0000) and Ti at (0.0000, 0.5000, 0.5000).

=====

Least stable: arrangement B

=====

Arrangement A

DFT (PBE-GGA) results for TaTi4 after structural relaxation.

The mass density comes out at 6.96 g/cm3. The calculation puts the magnetization at 0.00 μB/atom.

The structure belongs to space group P2/c (No. 13); the cell edges are 5.2675, 7.2167 and 5.1438 Å and the angles 90.00°, 114.63° and 90.00°. Symmetry generates all atoms from Ta at (0.0000, 0.1210, 0.2500), Ti at (0.2531, 0.4421, 0.5229) and Ti at (0.3311, 0.1796, 0.9344).

=====

Arrangement B

DFT (PBE-GGA) results for TaTi4 after structural relaxation.

The mass density comes out at 5.68 g/cm3. The calculation puts the magnetization at 0.22 μB/atom.

The structure belongs to space group Pm-3m (No. 221); the cell edges are 4.7741, 4.7741 and 4.7741 Å and the angles 90.00°, 90.00° and 90.00°. Symmetry generates all atoms from Ta at (0.0000, 0.0000, 0.0000), Ti at (0.0000, 0.0000, 0.5000) and Ti at (0.5000, 0.5000, 0.5000).

=====

Least stable: arrangement B